{
  "formula": "LiGdScHg",
  "functional": "PBE-GGA",
  "state": "optimized geometry",
  "cell": [[-0.813, -3.209, -3.892], [0.915, -4.995, 0.573], [-3.892, -3.306, 0.185]],
  "species": ["Sc", "Gd", "Hg", "Li"],
  "frac_coords": [[0.250, 0.250, 0.250], [0.750, 0.750, 0.750], [0.500, 0.500, 0.500], [0.000, 0.000, 0.000]],
  "formation_enthalpy_0k_ev_per_atom": -0.194
}